First-principles (PBE) data for crystalline AcTm4Mg5 at its relaxed geometry, as listed in Alexandria.

a = 3.802 Å, b = 3.802 Å, c = 19.380 Å
α = 90.00°, β = 90.00°, γ = 90.00°
Sites, in units of the cell vectors:
Ac1 0.000 0.000 0.000
Tm1 0.000 0.000 0.216
Tm2 0.000 0.000 0.405
Tm3 0.000 0.000 0.595
Tm4 0.000 0.000 0.784
Mg1 0.500 0.500 0.122
Mg2 0.500 0.500 0.310
Mg3 0.500 0.500 0.500
Mg4 0.500 0.500 0.690
Mg5 0.500 0.500 0.878

Calculated values
Its mass density is 6.07 g/cm3. For the formation energy, the calculation gives -0.05 eV/atom.